[1]
Crystalline LiTiSnF6 at its relaxed geometry. Source: Alexandria, functional PBE-GGA.

a = 5.3267 Å, b = 5.3267 Å, c = 10.4347 Å
α = 90.00°, β = 90.00°, γ = 120.00°
Last column: magnetic moment on the atom in μB.
Positions (direct):
Li 0.3333 0.6667 0.2500  0.00
Li 0.6667 0.3333 0.7500  0.00
Ti 0.6667 0.3333 0.2500  0.91
Ti 0.3333 0.6667 0.7500  0.91
Sn 0.0000 0.0000 0.0000  0.01
Sn 0.0000 0.0000 0.5000  0.01
F 0.6428 0.6306 0.1429  0.00
F 0.9879 0.3572 0.1429  0.00
F 0.3572 0.9879 0.6429  0.00
F 0.0121 0.6428 0.8571  0.00
F 0.3694 0.3572 0.3571  0.00
F 0.9879 0.6306 0.3571  0.00
F 0.6306 0.9879 0.8571  0.00
F 0.6428 0.0121 0.3571  0.00
F 0.0121 0.3694 0.6429  0.00
F 0.3694 0.0121 0.1429  0.00
F 0.6306 0.6428 0.6429  0.00
F 0.3572 0.3694 0.8571  0.00

Computed properties:
Density of states at the Fermi level, states/eV/cell: 13.86
Magnetization, μB/f.u.: 1.0
Uncorrected formation energy, eV/atom: -2.873


[2]
Crystalline Li2TiSnF8 at its relaxed geometry. Source: Alexandria, functional PBE-GGA.

a = 4.8450 Å, b = 4.8458 Å, c = 7.0414 Å
α = 84.61°, β = 84.62°, γ = 84.34°
Positions (direct):
Li 0.4622 0.4622 0.7167
Li 0.5378 0.5378 0.2833
Ti 0.0000 0.0000 0.0000
Sn 0.0000 0.0000 0.5000
F 0.2053 0.8012 0.1991
F 0.7398 0.7399 0.0428
F 0.8013 0.2054 0.1991
F 0.7947 0.1988 0.8009
F 0.2602 0.2601 0.9572
F 0.1987 0.7946 0.8009
F 0.6796 0.6798 0.5052
F 0.3204 0.3202 0.4948

Computed properties:
Density of states at the Fermi level, states/eV/cell: 0.00
Magnetization, μB/f.u.: 0.0
Uncorrected formation energy, eV/atom: -2.941